Entry 1:
The following is a PBE-GGA calculation of a geometry-optimized Ac3TbSn5 structure, from Alexandria.

a b c (Å): 6.763 9.960 9.960
angles (deg): 120.00 90.00 90.00
Fractional coordinates of all 18 atoms:
Ac  0.750  0.383  0.000
Ac  0.750  0.617  0.617
Ac  0.750  0.000  0.383
Ac  0.250  0.617  0.000
Ac  0.250  0.383  0.383
Ac  0.250  0.000  0.617
Tb  0.000  0.000  0.000
Tb  0.500  0.000  0.000
Sn  0.000  0.333  0.667
Sn  0.500  0.667  0.333
Sn  0.000  0.667  0.333
Sn  0.500  0.333  0.667
Sn  0.750  0.725  0.000
Sn  0.750  0.275  0.275
Sn  0.750  0.000  0.725
Sn  0.250  0.275  0.000
Sn  0.250  0.725  0.725
Sn  0.250  0.000  0.275

Computed properties:
ΔH_f (0 K) = -0.616 eV/atom
E_tot = -85.04 eV for the cell shown
Symmetry = No. 193
ρ = 8194 kg/m³
Magnetic moment = 0.00 μB/f.u.

Entry 2:
The following is a PBE-GGA calculation of a geometry-optimized AcTbSn2 structure, from Alexandria.

a b c (Å): 4.123 4.123 7.163
angles (deg): 90.00 90.00 90.00
Fractional coordinates of all 4 atoms:
Ac  0.500  0.500  0.000
Tb  0.500  0.500  0.500
Sn  0.000  0.000  0.713
Sn  0.000  0.000  0.287

Computed properties:
ΔH_f (0 K) = -0.630 eV/atom
E_tot = -19.27 eV for the cell shown
Symmetry = No. 123
ρ = 8501 kg/m³
Magnetic moment = 0.07 μB/f.u.

Entry 3:
The following is a PBE-GGA calculation of a geometry-optimized AcTb3Sn3 structure, from Alexandria.

a b c (Å): 5.438 9.501 9.501
angles (deg): 120.00 90.00 90.00
Fractional coordinates of all 14 atoms:
Ac  0.250  0.667  0.333
Ac  0.750  0.333  0.667
Tb  0.250  0.761  0.763
Tb  0.250  0.237  0.999
Tb  0.250  0.001  0.239
Tb  0.750  0.239  0.237
Tb  0.750  0.763  0.001
Tb  0.750  0.999  0.761
Sn  0.750  0.629  0.558
Sn  0.750  0.442  0.071
Sn  0.750  0.929  0.371
Sn  0.250  0.371  0.442
Sn  0.250  0.558  0.929
Sn  0.250  0.071  0.629

Computed properties:
ΔH_f (0 K) = -0.543 eV/atom
E_tot = -67.62 eV for the cell shown
Symmetry = No. 176
ρ = 8282 kg/m³
Magnetic moment = 0.00 μB/f.u.

Entry 4:
The following is a PBE-GGA calculation of a geometry-optimized AcTbSn2 structure, from Alexandria.

a b c (Å): 5.276 5.276 6.668
angles (deg): 82.57 117.07 126.03
Fractional coordinates of all 4 atoms:
Ac  0.000  0.500  0.500
Tb  0.000  0.000  0.000
Sn  0.539  0.261  0.801
Sn  0.461  0.738  0.199

Computed properties:
ΔH_f (0 K) = -0.599 eV/atom
E_tot = -19.14 eV for the cell shown
Symmetry = No. 12
ρ = 7891 kg/m³
Magnetic moment = 0.00 μB/f.u.

Entry 5:
The following is a PBE-GGA calculation of a geometry-optimized AcTbSn structure, from Alexandria.

a b c (Å): 4.500 5.212 5.212
angles (deg): 120.00 90.00 90.00
Fractional coordinates of all 3 atoms:
Ac  0.000  0.000  0.000
Tb  0.501  0.667  0.333
Sn  0.499  0.333  0.667

Computed properties:
ΔH_f (0 K) = -0.391 eV/atom
E_tot = -13.91 eV for the cell shown
Symmetry = No. 156
ρ = 7914 kg/m³
Magnetic moment = 0.00 μB/f.u.

Entry 6:
The following is a PBE-GGA calculation of a geometry-optimized AcTbSn structure, from Alexandria.

a b c (Å): 4.829 4.829 8.862
angles (deg): 90.00 90.01 90.00
Fractional coordinates of all 6 atoms:
Ac  0.813  0.866  0.566
Ac  0.314  0.367  0.273
Tb  0.814  0.366  0.920
Tb  0.314  0.866  0.920
Sn  0.814  0.866  0.167
Sn  0.313  0.366  0.672

Computed properties:
ΔH_f (0 K) = -0.569 eV/atom
E_tot = -28.90 eV for the cell shown
Symmetry = No. 129
ρ = 8111 kg/m³
Magnetic moment = 1.22 μB/f.u.

Entry 7:
The following is a PBE-GGA calculation of a geometry-optimized Ac3Tb2Sn4 structure, from Alexandria.

a b c (Å): 4.902 6.685 10.367
angles (deg): 96.56 90.00 111.51
Fractional coordinates of all 9 atoms:
Ac  0.373  0.745  0.604
Ac  0.000  0.000  0.000
Ac  0.627  0.255  0.396
Tb  0.320  0.639  0.209
Tb  0.680  0.361  0.791
Sn  0.680  0.360  0.092
Sn  0.081  0.161  0.629
Sn  0.919  0.839  0.371
Sn  0.320  0.640  0.908

Computed properties:
ΔH_f (0 K) = -0.594 eV/atom
E_tot = -42.94 eV for the cell shown
Symmetry = No. 12
ρ = 7802 kg/m³
Magnetic moment = 1.01 μB/f.u.

Entry 8:
The following is a PBE-GGA calculation of a geometry-optimized AcTb2Sn structure, from Alexandria.

a b c (Å): 3.690 3.690 12.011
angles (deg): 81.16 81.16 60.00
Fractional coordinates of all 4 atoms:
Ac  0.000  0.000  0.000
Tb  0.101  0.101  0.697
Tb  0.899  0.899  0.303
Sn  0.500  0.500  0.500

Computed properties:
ΔH_f (0 K) = -0.016 eV/atom
E_tot = -17.44 eV for the cell shown
Symmetry = No. 166
ρ = 7905 kg/m³
Magnetic moment = 0.00 μB/f.u.